[1]
Computed, not measured: crystalline Pm3Zn9Ga2 at its relaxed geometry at the GGA-PBE level of DFT.

The structure belongs to space group Immm (No. 71); the cell edges are 4.421, 9.335 and 12.890 Å and the angles 90.00°, 90.00° and 90.00°. The distinct sites, in fractional coordinates, are Pm at (0.000, 0.000, 0.000), Pm at (0.000, 0.000, 0.303), Zn at (0.000, 0.277, 0.142), Zn at (0.000, 0.366, 0.340), Zn at (0.000, 0.500, 0.000) and Ga at (0.000, 0.202, 0.500).

For the density, the calculation gives 7.3 g/cm3. The calculation puts the formation energy at -0.36 eV/atom. For the total energy, the calculation gives -2.63 eV per atom.

***

[2]
Computed, not measured: crystalline Pm2Zn9Ga3 at its relaxed geometry at the GGA-PBE level of DFT.

The structure belongs to space group Cmcm (No. 63); the cell edges are 13.571, 7.919 and 9.190 Å and the angles 90.00°, 90.00° and 90.00°. The distinct sites, in fractional coordinates, are Pm at (0.162, 0.158, 0.250), Zn at (0.000, 0.149, 0.750), Zn at (0.000, 0.338, 0.061), Zn at (0.095, 0.452, 0.750), Zn at (0.157, 0.187, 0.592), Ga at (0.000, 0.000, 0.000) and Ga at (0.189, 0.500, 0.000).

For the density, the calculation gives 7.3 g/cm3. The calculation puts the formation energy at -0.27 eV/atom. For the total energy, the calculation gives -2.42 eV per atom.

***

[3]
Computed, not measured: crystalline PmZnGa at its relaxed geometry at the GGA-PBE level of DFT.

The structure belongs to space group C2/m (No. 12); the cell edges are 10.617, 4.522 and 7.413 Å and the angles 90.00°, 133.77° and 90.00°. The distinct sites, in fractional coordinates, are Pm at (0.027, 0.000, 0.279), Zn at (0.165, 0.500, 0.710) and Ga at (0.164, 0.500, 0.123).

For the density, the calculation gives 7.2 g/cm3. The calculation puts the formation energy at -0.55 eV/atom. For the total energy, the calculation gives -3.57 eV per atom. For the polymorph energy (0 for the lowest one), the calculation gives 0 meV per atom.

***

[4]
Computed, not measured: crystalline PmZnGa at its relaxed geometry at the GGA-PBE level of DFT.

The structure belongs to space group F-43m (No. 216); the cell edges are 6.515, 6.515 and 6.515 Å and the angles 90.00°, 90.00° and 90.00°. The distinct sites, in fractional coordinates, are Pm at (0.000, 0.000, 0.000), Zn at (0.250, 0.250, 0.750) and Ga at (0.000, 0.000, 0.500).

For the density, the calculation gives 6.7 g/cm3. The calculation puts the formation energy at -0.41 eV/atom. For the total energy, the calculation gives -3.43 eV per atom. For the polymorph energy (0 for the lowest one), the calculation gives 133 meV per atom.

***

[5]
Computed, not measured: crystalline PmZnGa at its relaxed geometry at the GGA-PBE level of DFT.

The structure belongs to space group I4mm (No. 107); the cell edges are 3.402, 3.402 and 11.141 Å and the angles 90.00°, 90.00° and 90.00°. The distinct sites, in fractional coordinates, are Pm at (0.000, 0.000, 0.000), Zn at (0.000, 0.000, 0.687) and Ga at (0.000, 0.000, 0.310).

For the density, the calculation gives 7.2 g/cm3. The calculation puts the formation energy at -0.31 eV/atom. For the total energy, the calculation gives -3.32 eV per atom. For the polymorph energy (0 for the lowest one), the calculation gives 242 meV per atom.

***

[6]
Computed, not measured: crystalline Pm3Zn2Ga3 at its relaxed geometry at the GGA-PBE level of DFT.

The structure belongs to space group Cmcm (No. 63); the cell edges are 4.500, 10.702 and 14.869 Å and the angles 90.00°, 90.00° and 90.00°. The distinct sites, in fractional coordinates, are Pm at (0.000, 0.096, 0.109), Pm at (0.000, 0.372, 0.250), Zn at (0.000, 0.202, 0.597), Ga at (0.000, 0.333, 0.750) and Ga at (0.000, 0.389, 0.039).

For the density, the calculation gives 7.2 g/cm3. The calculation puts the formation energy at -0.55 eV/atom. For the total energy, the calculation gives -3.79 eV per atom.

***

[7]
Computed, not measured: crystalline Pm2ZnGa2 at its relaxed geometry at the GGA-PBE level of DFT.

The structure belongs to space group C2/m (No. 12); the cell edges are 10.807, 4.514 and 10.745 Å and the angles 90.00°, 118.10° and 90.00°. The distinct sites, in fractional coordinates, are Pm at (0.021, 0.000, 0.334), Pm at (0.183, 0.000, 0.095), Zn at (0.228, 0.500, 0.346), Ga at (0.014, 0.500, 0.881) and Ga at (0.139, 0.500, 0.565).

For the density, the calculation gives 7.1 g/cm3. The calculation puts the formation energy at -0.57 eV/atom. For the total energy, the calculation gives -3.93 eV per atom.

***

[8]
Computed, not measured: crystalline PmZn2Ga2 at its relaxed geometry at the GGA-PBE level of DFT.

The structure belongs to space group I4/mmm (No. 139); the cell edges are 3.517, 3.517 and 51.195 Å and the angles 90.00°, 90.00° and 90.00°. The distinct sites, in fractional coordinates, are Pm at (0.000, 0.000, 0.000), Zn at (0.000, 0.500, 0.250) and Ga at (0.000, 0.000, 0.464).

For the density, the calculation gives 2.2 g/cm3. The calculation puts the formation energy at 0.31 eV/atom. For the total energy, the calculation gives -2.36 eV per atom. For the polymorph energy (0 for the lowest one), the calculation gives 785 meV per atom.

***

[9]
Computed, not measured: crystalline PmZn2Ga4 at its relaxed geometry at the GGA-PBE level of DFT.

The structure belongs to space group Cmmm (No. 65); the cell edges are 4.802, 12.660 and 4.423 Å and the angles 90.00°, 90.00° and 90.00°. The distinct sites, in fractional coordinates, are Pm at (0.000, 0.000, 0.000), Zn at (0.000, 0.406, 0.500), Ga at (0.000, 0.179, 0.500) and Ga at (0.000, 0.304, 0.000).

For the density, the calculation gives 6.9 g/cm3. The calculation puts the formation energy at -0.25 eV/atom. For the total energy, the calculation gives -3.02 eV per atom. For the polymorph energy (0 for the lowest one), the calculation gives 11 meV per atom.

***

[10]
Computed, not measured: crystalline PmZn2Ga2 at its relaxed geometry at the GGA-PBE level of DFT.

The structure belongs to space group P4/nmm (No. 129, origin choice 2); the cell edges are 4.231, 4.231 and 10.631 Å and the angles 90.00°, 90.00° and 90.00°. The distinct sites, in fractional coordinates, are Pm at (0.250, 0.250, 0.249), Zn at (0.250, 0.250, 0.637), Zn at (0.250, 0.750, 0.000), Ga at (0.250, 0.250, 0.865) and Ga at (0.250, 0.750, 0.500).

For the density, the calculation gives 7.2 g/cm3. The calculation puts the formation energy at -0.48 eV/atom. For the total energy, the calculation gives -3.15 eV per atom. For the polymorph energy (0 for the lowest one), the calculation gives 0 meV per atom.